First-principles (PBE-GGA) data for crystalline MgNbPd4 at its relaxed geometry, as listed in Alexandria.

Values from the calculation:
VASP energy (eV/atom): -5.84
Volume (Å³ per cell): 191.89
DOS(E_F) (states/eV per atom): 0.68
ΔH_f (0 K) (eV/atom): -0.437
Space-group type: P-1

```
MgNbPd4
1.0
4.9228 0.0000 0.0000
-1.7441 6.1664 0.0000
-0.1551 -2.8890 6.3214
Mg Nb Pd
2 2 8
Direct
0.1242 0.1262 0.3768
0.8758 0.8738 0.6232
0.3802 0.3797 0.1214
0.6198 0.6203 0.8786
0.0397 0.3771 0.7945
0.2054 0.8768 0.9597
0.2975 0.6213 0.5416
0.4528 0.1251 0.7094
0.5472 0.8749 0.2906
0.7025 0.3787 0.4584
0.7946 0.1232 0.0403
0.9603 0.6229 0.2055
```